1.
# BeCdSn3

An optimized crystal structure of BeCdSn3 (PBE, Alexandria).

The space group is Pm-3m (No. 221) and the conventional cell measures 5.001, 5.001 and 5.001 Å, with angles of 90.00, 90.00 and 90.00 degrees. The distinct sites, in fractional coordinates, are Be at (0.000, 0.000, 0.000), Cd at (0.500, 0.500, 0.500) and Sn at (0.000, 0.000, 0.500).

As for the polymorph energy (0 for the lowest one): 0.0 kJ/mol of atoms.


2.
# Ti5Al2Ge

An optimized crystal structure of Ti5Al2Ge (PBE, Alexandria).

The space group is I4/mcm (No. 140) and the conventional cell measures 6.886, 6.886 and 11.151 Å, with angles of 90.00, 90.00 and 90.00 degrees. The distinct sites, in fractional coordinates, are Ti at (0.000, 0.000, 0.000), Ti at (0.158, 0.342, 0.160), Al at (0.136, 0.364, 0.500) and Ge at (0.000, 0.000, 0.250).


3.
# NbAlCu3

An optimized crystal structure of NbAlCu3 (PBE, Alexandria).

The space group is Pm-3m (No. 221) and the conventional cell measures 4.790, 4.790 and 4.790 Å, with angles of 90.00, 90.00 and 90.00 degrees. The distinct sites, in fractional coordinates, are Nb at (0.000, 0.000, 0.000), Al at (0.500, 0.500, 0.500) and Cu at (0.000, 0.000, 0.500).

As for the polymorph energy (0 for the lowest one): 65.9 kJ/mol of atoms.


4.
# MnV2HAu

An optimized crystal structure of MnV2HAu (PBE, Alexandria).

The space group is P4/mmm (No. 123) and the conventional cell measures 3.858, 3.858 and 3.785 Å, with angles of 90.00, 90.00 and 90.00 degrees. The distinct sites, in fractional coordinates, are Mn at (0.000, 0.000, 0.000), V at (0.000, 0.500, 0.500), H at (0.000, 0.000, 0.500) and Au at (0.500, 0.500, 0.000).


5.
# KCdAg2

An optimized crystal structure of KCdAg2 (PBE, Alexandria).

The space group is I4_1/amd (No. 141, origin choice 2) and the conventional cell measures 5.389, 5.389 and 19.416 Å, with angles of 90.00, 90.00 and 90.00 degrees. The distinct sites, in fractional coordinates, are K at (0.000, 0.250, 0.375), Cd at (0.000, 0.250, 0.875) and Ag at (0.000, 0.000, 0.000).

As for the polymorph energy (0 for the lowest one): 12.3 kJ/mol of atoms.


6.
# CaMg2GaNi

An optimized crystal structure of CaMg2GaNi (PBE, Alexandria).

The space group is P4/mmm (No. 123) and the conventional cell measures 4.862, 4.862 and 4.654 Å, with angles of 90.00, 90.00 and 90.00 degrees. The distinct sites, in fractional coordinates, are Ca at (0.000, 0.000, 0.000), Mg at (0.000, 0.500, 0.500), Ga at (0.500, 0.500, 0.000) and Ni at (0.500, 0.500, 0.500).


7.
# Mg8TlPt2

An optimized crystal structure of Mg8TlPt2 (PBE, Alexandria).

The space group is P1 (No. 1) and the conventional cell measures 4.461, 6.982 and 8.161 Å, with angles of 112.10, 105.76 and 90.02 degrees. The distinct sites, in fractional coordinates, are Mg at (0.000, 0.000, 0.000), Mg at (0.058, 0.479, 0.120), Mg at (0.219, 0.029, 0.440), Mg at (0.350, 0.806, 0.701), Mg at (0.420, 0.272, 0.843), Mg at (0.638, 0.210, 0.276), Mg at (0.710, 0.676, 0.419), Mg at (0.837, 0.451, 0.679), Tl at (0.529, 0.741, 0.060), Pt at (0.217, 0.419, 0.434) and Pt at (0.843, 0.062, 0.687).

As for the polymorph energy (0 for the lowest one): 0.0 kJ/mol of atoms.


8.
# Mo3AsPd

An optimized crystal structure of Mo3AsPd (PBE, Alexandria).

The space group is Pm-3m (No. 221) and the conventional cell measures 4.743, 4.743 and 4.743 Å, with angles of 90.00, 90.00 and 90.00 degrees. The distinct sites, in fractional coordinates, are Mo at (0.000, 0.000, 0.500), As at (0.500, 0.500, 0.500) and Pd at (0.000, 0.000, 0.000).

As for the polymorph energy (0 for the lowest one): 69.5 kJ/mol of atoms.


9.
# MnReAg

An optimized crystal structure of MnReAg (PBE, Alexandria).

The space group is I4mm (No. 107) and the conventional cell measures 2.844, 2.844 and 11.046 Å, with angles of 90.00, 90.00 and 90.00 degrees. The distinct sites, in fractional coordinates, are Mn at (0.000, 0.000, 0.000), Re at (0.000, 0.000, 0.622) and Ag at (0.000, 0.000, 0.320).

As for the polymorph energy (0 for the lowest one): 4.4 kJ/mol of atoms.


10.
# HoEr3Pu

An optimized crystal structure of HoEr3Pu (PBE, Alexandria).

The space group is C2/m (No. 12) and the conventional cell measures 8.595, 9.197 and 8.614 Å, with angles of 90.00, 117.84 and 90.00 degrees. The distinct sites, in fractional coordinates, are Ho at (0.210, 0.000, 0.120), Er at (0.069, 0.182, 0.715), Er at (0.166, 0.500, 0.433) and Pu at (0.000, 0.350, 0.000).


11.
# Rb3Ce2TaAs6

An optimized crystal structure of Rb3Ce2TaAs6 (PBE, Alexandria).

The space group is C2/m (No. 12) and the conventional cell measures 7.240, 12.547 and 8.440 Å, with angles of 90.00, 106.65 and 90.00 degrees. The distinct sites, in fractional coordinates, are Rb at (0.000, 0.000, 0.000), Rb at (0.000, 0.329, 0.000), Ce at (0.000, 0.166, 0.500), Ta at (0.000, 0.500, 0.500), As at (0.213, 0.347, 0.682) and As at (0.243, 0.500, 0.316).


12.
# NbV7Ga5

An optimized crystal structure of NbV7Ga5 (PBE, Alexandria).

The space group is Imm2 (No. 44) and the conventional cell measures 5.027, 8.674 and 8.747 Å, with angles of 90.00, 90.00 and 90.00 degrees. The distinct sites, in fractional coordinates, are Nb at (0.000, 0.000, 0.000), V at (0.000, 0.000, 0.367), V at (0.000, 0.000, 0.610), V at (0.000, 0.312, 0.498), V at (0.000, 0.364, 0.990), V at (0.000, 0.500, 0.713), Ga at (0.000, 0.500, 0.267) and Ga at (0.250, 0.248, 0.245).


The electronic total energy results, record by record, are as follows: -3.00 -6.80 -3.78 -6.84 -1.84 -2.99 -2.90 -6.53 -7.72 -6.38 -5.14 -6.93 eV per atom.